VASP calculation (PBE) on a relaxed Hf2Cu3Pb3 crystal.

The structure in POSCAR format:
```
Hf2Cu3Pb3
1.0
4.4466 0.0000 0.0000
0.0000 4.4466 0.0000
0.0000 0.0000 10.7320
Pb Hf Cu
3 2 3
Direct
0.0000 0.0000 0.5000
0.5000 0.5000 0.5000
0.5000 0.5000 0.0000
0.0000 0.5000 0.6955
0.5000 0.0000 0.3045
0.0000 0.0000 0.7944
0.0000 0.0000 0.0000
0.0000 0.0000 0.2056
```

Output
Space-group type = P-4m2
Volume = 26.52 Å³ per atom
E_tot = -4.51 eV/atom